## a
DFT (PBE) results for crystalline TiSn3Cl at its relaxed geometry.

density of states at the Fermi level	1.04	states/eV/atom
spin magnetization	0.00	μB/f.u.

Cell: 5.234 5.234 5.234 Å, 90.00 90.00 90.00°
Space group Pm-3m (No. 221)
Symmetry-distinct sites (fractional):
Ti (0.000, 0.000, 0.000)
Sn (0.000, 0.500, 0.500)
Cl (0.500, 0.500, 0.500)

---

## b
DFT (PBE) results for crystalline TiSn3Cl at its relaxed geometry.

density of states at the Fermi level	1.04	states/eV/atom
spin magnetization	0.00	μB/f.u.

Cell: 5.347 5.347 5.347 Å, 90.00 90.00 90.00°
Space group Pm-3m (No. 221)
Symmetry-distinct sites (fractional):
Ti (0.000, 0.000, 0.000)
Sn (0.000, 0.000, 0.500)
Cl (0.500, 0.500, 0.500)

---

b ends up most stable, edging out the next structure by 0.621 eV/atom.

---

## a
DFT (PBE) results for crystalline TiSnCl3 at its relaxed geometry.

density of states at the Fermi level	1.98	states/eV/atom
spin magnetization	3.00	μB/f.u.

Cell: 5.505 5.505 5.505 Å, 90.00 90.00 90.00°
Space group Pm-3m (No. 221)
Symmetry-distinct sites (fractional):
Ti (0.000, 0.000, 0.000)
Sn (0.500, 0.500, 0.500)
Cl (0.000, 0.500, 0.500)

---

## b
DFT (PBE) results for crystalline TiSnCl3 at its relaxed geometry.

density of states at the Fermi level	1.27	states/eV/atom
spin magnetization	0.00	μB/f.u.

Cell: 4.894 4.894 4.894 Å, 90.00 90.00 90.00°
Space group Pm-3m (No. 221)
Symmetry-distinct sites (fractional):
Ti (0.000, 0.000, 0.000)
Sn (0.500, 0.500, 0.500)
Cl (0.000, 0.000, 0.500)

---

b ends up most stable, edging out the next structure by 0.549 eV/atom.

---

## a
DFT (PBE) results for crystalline TlSn2Cl at its relaxed geometry.

density of states at the Fermi level	0.29	states/eV/atom
spin magnetization	0.00	μB/f.u.

Cell: 7.507 7.507 7.507 Å, 90.00 90.00 90.00°
Space group Fm-3m (No. 225)
Symmetry-distinct sites (fractional):
Tl (0.000, 0.000, 0.000)
Sn (0.250, 0.250, 0.250)
Cl (0.000, 0.000, 0.500)

---

## b
DFT (PBE) results for crystalline TlSn2Cl at its relaxed geometry.

density of states at the Fermi level	0.49	states/eV/atom
spin magnetization	0.00	μB/f.u.

Cell: 4.398 4.398 24.685 Å, 90.00 90.00 90.00°
Space group I-42d (No. 122)
Symmetry-distinct sites (fractional):
Tl (0.000, 0.000, 0.000)
Sn (0.241, 0.250, 0.125)
Cl (0.000, 0.000, 0.500)

---

b ends up most stable, edging out the next structure by 0.134 eV/atom.